# 1
# TlCuSbBr6, optimized geometry, DFT PBE
data_TlCuSbBr6
_symmetry_space_group_name_H-M 'P 1'
_symmetry_Int_Tables_number 1
_symmetry_space_group_name_Hall 'P 1'
_cell_length_a 7.061
_cell_length_b 7.080
_cell_length_c 7.258
_cell_angle_alpha 93.76
_cell_angle_beta 94.04
_cell_angle_gamma 114.89
loop_
_atom_site_label
_atom_site_type_symbol
_atom_site_fract_x
_atom_site_fract_y
_atom_site_fract_z
_atom_site_occupancy
Tl1 Tl 0.000 0.000 0.000 1
Cu1 Cu 0.325 0.674 0.499 1
Sb1 Sb 0.671 0.328 0.499 1
Br1 Br 0.351 0.415 0.274 1
Br2 Br 0.364 0.002 0.675 1
Br3 Br 0.588 0.649 0.723 1
Br4 Br 0.638 0.017 0.245 1
Br5 Br 0.986 0.358 0.749 1
Br6 Br 0.996 0.637 0.323 1
# Formation energy (no corrections) in meV per atom: -534
# Electronic total energy in eV per atom: -2.825
# Magnetic moment in μB per atom: 0.11

# 2
# Tl2CuSbBr6, optimized geometry, DFT PBE
data_Tl2CuSbBr6
_symmetry_space_group_name_H-M 'C 1 m 1'
_symmetry_Int_Tables_number 8
_symmetry_space_group_name_Hall 'C -2y'
_cell_length_a 10.737
_cell_length_b 10.685
_cell_length_c 8.065
_cell_angle_alpha 90.00
_cell_angle_beta 131.73
_cell_angle_gamma 90.00
loop_
_atom_site_label
_atom_site_type_symbol
_atom_site_fract_x
_atom_site_fract_y
_atom_site_fract_z
_atom_site_occupancy
Tl1 Tl 0.000 0.250 0.000 1
Cu1 Cu 0.017 0.000 0.533 1
Sb1 Sb 0.061 0.500 0.622 1
Br1 Br 0.077 0.235 0.654 1
Br2 Br 0.312 0.000 0.652 1
Br3 Br 0.313 0.500 0.125 1
Br4 Br 0.339 0.000 0.178 1
Br5 Br 0.340 0.500 0.651 1
# Formation energy (no corrections) in meV per atom: -607
# Electronic total energy in eV per atom: -2.906
# Magnetic moment in μB per atom: 0.00

# 3
# Tl3Cu2SbBr9, optimized geometry, DFT PBE
data_Tl3Cu2SbBr9
_symmetry_space_group_name_H-M 'P -3 m 1'
_symmetry_Int_Tables_number 164
_symmetry_space_group_name_Hall '-P 3 2"'
_cell_length_a 7.5383
_cell_length_b 7.5383
_cell_length_c 9.3619
_cell_angle_alpha 90.00
_cell_angle_beta 90.00
_cell_angle_gamma 120.00
loop_
_atom_site_label
_atom_site_type_symbol
_atom_site_fract_x
_atom_site_fract_y
_atom_site_fract_z
_atom_site_occupancy
Tl1 Tl 0.0000 0.0000 0.0000 1
Tl2 Tl 0.3333 0.6667 0.7209 1
Cu1 Cu 0.3333 0.6667 0.1521 1
Sb1 Sb 0.0000 0.0000 0.5000 1
Br1 Br 0.0000 0.5000 0.0000 1
Br2 Br 0.1709 0.3417 0.3220 1
# Formation energy (no corrections) in meV per atom: -568
# Electronic total energy in eV per atom: -2.866
# Magnetic moment in μB per atom: 0.00

# 4
# Sc2CuBr, optimized geometry, DFT PBE
data_Sc2CuBr
_symmetry_space_group_name_H-M 'I m m m'
_symmetry_Int_Tables_number 71
_symmetry_space_group_name_Hall '-I 2 2'
_cell_length_a 3.959
_cell_length_b 5.268
_cell_length_c 7.679
_cell_angle_alpha 90.00
_cell_angle_beta 90.00
_cell_angle_gamma 90.00
loop_
_atom_site_label
_atom_site_type_symbol
_atom_site_fract_x
_atom_site_fract_y
_atom_site_fract_z
_atom_site_occupancy
Sc1 Sc 0.000 0.000 0.250 1
Cu1 Cu 0.000 0.500 0.000 1
Br1 Br 0.000 0.500 0.500 1
# Formation energy (no corrections) in meV per atom: -234
# Electronic total energy in eV per atom: -4.842
# Magnetic moment in μB per atom: 0.00

# 5
# ScCu2Br, optimized geometry, DFT PBE
data_ScCu2Br
_symmetry_space_group_name_H-M 'P m m m'
_symmetry_Int_Tables_number 47
_symmetry_space_group_name_Hall '-P 2 2'
_cell_length_a 3.666
_cell_length_b 3.909
_cell_length_c 4.905
_cell_angle_alpha 90.00
_cell_angle_beta 90.00
_cell_angle_gamma 90.00
loop_
_atom_site_label
_atom_site_type_symbol
_atom_site_fract_x
_atom_site_fract_y
_atom_site_fract_z
_atom_site_occupancy
Sc1 Sc 0.000 0.000 0.000 1
Cu1 Cu 0.000 0.500 0.500 1
Cu2 Cu 0.500 0.000 0.500 1
Br1 Br 0.500 0.500 0.000 1
# Formation energy (no corrections) in meV per atom: -17
# Electronic total energy in eV per atom: -4.066
# Magnetic moment in μB per atom: 0.00

# 6
# Sc2CuBr, optimized geometry, DFT PBE
data_Sc2CuBr
_symmetry_space_group_name_H-M 'R -3 m'
_symmetry_Int_Tables_number 166
_symmetry_space_group_name_Hall '-R 3 2"'
_cell_length_a 3.9708
_cell_length_b 3.9708
_cell_length_c 23.5221
_cell_angle_alpha 90.00
_cell_angle_beta 90.00
_cell_angle_gamma 120.00
loop_
_atom_site_label
_atom_site_type_symbol
_atom_site_fract_x
_atom_site_fract_y
_atom_site_fract_z
_atom_site_occupancy
Sc1 Sc 0.0000 0.0000 0.1121 1
Cu1 Cu 0.0000 0.0000 0.5000 1
Br1 Br 0.0000 0.0000 0.0000 1
# Formation energy (no corrections) in meV per atom: -415
# Electronic total energy in eV per atom: -5.023
# Magnetic moment in μB per atom: 0.00